a) Density functional theory data (GGA-PBE) for an optimized crystal structure of TiWIN2.

Lattice parameters (Å, degrees): 3.977 3.977 5.653 90.00 90.00 90.00
Each line ends with the local moment (μB).
Fractional coordinates of all 5 atoms:
Ti1 0.000 0.000 0.000  0.13
I1 0.000 0.000 0.500  0.02
N1 0.500 0.000 0.000  -0.17
N2 0.000 0.500 0.000  -0.17
W1 0.500 0.500 0.500  2.79

=====

b) Density functional theory data (GGA-PBE) for an optimized crystal structure of TiWIN2.

Lattice parameters (Å, degrees): 3.964 3.964 5.613 90.00 90.00 90.00
Each line ends with the local moment (μB).
Fractional coordinates of all 5 atoms:
W1 0.000 0.000 0.000  0.01
N1 0.500 0.000 0.000  0.01
N2 0.000 0.500 0.000  0.01
Ti1 0.500 0.500 0.500  -0.12
I1 0.000 0.000 0.500  0.00

=====

Which of them is the most stable, and which is the least stable? b) and a), in that order.

=====

a) Density functional theory data (GGA-PBE) for an optimized crystal structure of ZrTiI2N.

Lattice parameters (Å, degrees): 5.455 3.735 5.455 90.00 90.00 90.00
Each line ends with the local moment (μB).
Fractional coordinates of all 5 atoms:
I1 0.000 0.000 0.500  0.00
I2 0.500 0.000 0.000  0.00
N1 0.000 0.000 0.000  -0.01
Zr1 0.500 0.500 0.500  0.11
Ti1 0.000 0.500 0.000  0.18

=====

b) Density functional theory data (GGA-PBE) for an optimized crystal structure of ZrTiI2N.

Lattice parameters (Å, degrees): 5.898 5.898 3.974 90.00 90.00 90.00
Each line ends with the local moment (μB).
Fractional coordinates of all 5 atoms:
N1 0.000 0.000 0.500  -0.02
Zr1 0.000 0.000 0.000  0.08
I1 0.500 0.000 0.000  -0.01
I2 0.000 0.500 0.000  -0.01
Ti1 0.500 0.500 0.500  0.27

=====

Which of them is the most stable, and which is the least stable? b) and a), in that order.

=====

a) Density functional theory data (GGA-PBE) for an optimized crystal structure of ZrTiIN2.

Lattice parameters (Å, degrees): 4.212 4.212 5.757 90.00 90.00 90.00
Each line ends with the local moment (μB).
Fractional coordinates of all 5 atoms:
Zr1 0.000 0.000 0.000  -0.01
N1 0.500 0.000 0.000  0.25
N2 0.000 0.500 0.000  0.25
Ti1 0.500 0.500 0.500  0.05
I1 0.000 0.000 0.500  0.00

=====

b) Density functional theory data (GGA-PBE) for an optimized crystal structure of ZrTiIN2.

Lattice parameters (Å, degrees): 4.041 4.041 5.279 90.00 90.00 90.00
Each line ends with the local moment (μB).
Fractional coordinates of all 5 atoms:
N1 0.500 0.000 0.000  -0.03
N2 0.000 0.500 0.000  -0.03
Ti1 0.000 0.000 0.000  0.03
Zr1 0.500 0.500 0.500  0.25
I1 0.000 0.000 0.500  0.01

=====

Which of them is the most stable, and which is the least stable? b) and a), in that order.

=====

a) Density functional theory data (GGA-PBE) for an optimized crystal structure of Tl3IN.

Lattice parameters (Å, degrees): 6.563 6.563 6.563 90.00 90.00 90.00
Each line ends with the local moment (μB).
Fractional coordinates of all 5 atoms:
N1 0.500 0.500 0.500  1.64
Tl1 0.000 0.500 0.000  -0.03
Tl2 0.500 0.000 0.000  -0.04
Tl3 0.000 0.000 0.500  -0.04
I1 0.000 0.000 0.000  0.00

=====

b) Density functional theory data (GGA-PBE) for an optimized crystal structure of Tl3IN.

Lattice parameters (Å, degrees): 5.334 5.334 5.334 90.00 90.00 90.00
Each line ends with the local moment (μB).
Fractional coordinates of all 5 atoms:
Tl1 0.500 0.000 0.000  0.07
Tl2 0.000 0.000 0.500  -0.02
Tl3 0.000 0.500 0.000  0.02
I1 0.500 0.500 0.500  -0.01
N1 0.000 0.000 0.000  0.66

=====

Which of them is the most stable, and which is the least stable? b) and a), in that order.

=====

a) Density functional theory data (GGA-PBE) for an optimized crystal structure of TlI2N.

Lattice parameters (Å, degrees): 7.333 7.333 7.338 60.02 60.02 90.00
Fractional coordinates of all 8 atoms:
N1 0.250 0.750 0.500
N2 0.500 0.500 0.000
Tl1 0.000 0.000 0.000
Tl2 0.750 0.250 0.500
I1 0.875 0.626 0.750
I2 0.374 0.625 0.250
I3 0.375 0.624 0.750
I4 0.376 0.125 0.250

=====

b) Density functional theory data (GGA-PBE) for an optimized crystal structure of TlI2N.

Lattice parameters (Å, degrees): 5.724 5.724 5.724 60.00 60.00 60.00
Each line ends with the local moment (μB).
Fractional coordinates of all 4 atoms:
I1 0.750 0.750 0.750  -0.21
I2 0.250 0.250 0.250  -0.21
Tl1 0.500 0.500 0.500  -0.06
N1 0.000 0.000 0.000  1.80

=====

Which of them is the most stable, and which is the least stable? a) and b), in that order.

=====

a) Density functional theory data (GGA-PBE) for an optimized crystal structure of TlVIN2.

Lattice parameters (Å, degrees): 4.224 4.224 6.271 90.00 90.00 90.00
Each line ends with the local moment (μB).
Fractional coordinates of all 5 atoms:
N1 0.500 0.000 0.000  0.04
N2 0.000 0.500 0.000  0.04
V1 0.500 0.500 0.500  -0.21
I1 0.000 0.000 0.500  0.01
Tl1 0.000 0.000 0.000  0.00

=====

b) Density functional theory data (GGA-PBE) for an optimized crystal structure of TlVIN2.

Lattice parameters (Å, degrees): 4.079 4.079 5.576 90.00 90.00 90.00
Fractional coordinates of all 5 atoms:
I1 0.000 0.000 0.500
V1 0.000 0.000 0.000
N1 0.000 0.500 0.000
N2 0.500 0.000 0.000
Tl1 0.500 0.500 0.500

=====

Which of them is the most stable, and which is the least stable? b) and a), in that order.

=====

a) Density functional theory data (GGA-PBE) for an optimized crystal structure of TlVI2N.

Lattice parameters (Å, degrees): 5.888 5.888 3.755 90.00 90.00 90.00
Each line ends with the local moment (μB).
Fractional coordinates of all 5 atoms:
V1 0.000 0.000 0.000  1.27
Tl1 0.500 0.500 0.500  0.01
I1 0.500 0.000 0.000  -0.04
I2 0.000 0.500 0.000  -0.04
N1 0.000 0.000 0.500  -0.26

=====

b) Density functional theory data (GGA-PBE) for an optimized crystal structure of TlVI2N.

Lattice parameters (Å, degrees): 6.213 6.213 4.009 90.00 90.00 90.00
Each line ends with the local moment (μB).
Fractional coordinates of all 5 atoms:
Tl1 0.000 0.000 0.000  0.01
I1 0.500 0.000 0.000  -0.06
I2 0.000 0.500 0.000  -0.06
N1 0.000 0.000 0.500  0.03
V1 0.500 0.500 0.500  3.12

=====

Which of them is the most stable, and which is the least stable? a) and b), in that order.

=====

a) Density functional theory data (GGA-PBE) for an optimized crystal structure of YTlI2N.

Lattice parameters (Å, degrees): 6.327 6.327 4.184 90.00 90.00 90.00
Each line ends with the local moment (μB).
Fractional coordinates of all 5 atoms:
I1 0.500 0.000 0.000  0.01
I2 0.000 0.500 0.000  0.01
Tl1 0.500 0.500 0.500  0.00
Y1 0.000 0.000 0.000  -0.01
N1 0.000 0.000 0.500  0.13

=====

b) Density functional theory data (GGA-PBE) for an optimized crystal structure of YTlI2N.

Lattice parameters (Å, degrees): 6.252 6.252 3.961 90.00 90.00 90.00
Fractional coordinates of all 5 atoms:
Y1 0.500 0.500 0.500
I1 0.500 0.000 0.000
I2 0.000 0.500 0.000
Tl1 0.000 0.000 0.000
N1 0.000 0.000 0.500

=====

Which of them is the most stable, and which is the least stable? a) and b), in that order.

=====

a) Density functional theory data (GGA-PBE) for an optimized crystal structure of TlZnI2N.

Lattice parameters (Å, degrees): 6.216 6.216 4.429 90.00 90.00 90.00
Each line ends with the local moment (μB).
Fractional coordinates of all 5 atoms:
I1 0.000 0.500 0.000  0.07
I2 0.500 0.000 0.000  0.07
Tl1 0.000 0.000 0.000  -0.02
N1 0.000 0.000 0.500  1.07
Zn1 0.500 0.500 0.500  0.02

=====

b) Density functional theory data (GGA-PBE) for an optimized crystal structure of TlZnI2N.

Lattice parameters (Å, degrees): 6.094 6.094 3.933 90.00 90.00 90.00
Each line ends with the local moment (μB).
Fractional coordinates of all 5 atoms:
Zn1 0.000 0.000 0.000  0.01
Tl1 0.500 0.500 0.500  0.00
I1 0.500 0.000 0.000  0.11
I2 0.000 0.500 0.000  0.11
N1 0.000 0.000 0.500  1.14

=====

Which of them is the most stable, and which is the least stable? b) and a), in that order.

=====

a) Density functional theory data (GGA-PBE) for an optimized crystal structure of VI2N.

Lattice parameters (Å, degrees): 7.691 7.691 7.495 59.13 59.13 90.00
Each line ends with the local moment (μB).
Fractional coordinates of all 8 atoms:
I1 0.694 0.125 0.250  -0.01
I2 0.056 0.625 0.250  -0.01
I3 0.875 0.944 0.750  -0.01
I4 0.375 0.306 0.750  -0.01
V1 0.000 0.000 0.000  2.69
V2 0.750 0.250 0.500  2.69
N1 0.250 0.750 0.500  1.92
N2 0.500 0.500 0.000  1.92

=====

b) Density functional theory data (GGA-PBE) for an optimized crystal structure of VI2N.

Lattice parameters (Å, degrees): 5.034 5.034 5.034 60.00 60.00 60.00
Each line ends with the local moment (μB).
Fractional coordinates of all 4 atoms:
V1 0.500 0.500 0.500  2.63
I1 0.250 0.250 0.250  -0.06
I2 0.750 0.750 0.750  -0.06
N1 0.000 0.000 0.000  1.51

=====

Which of them is the most stable, and which is the least stable? a) and b), in that order.

=====

a) Density functional theory data (GGA-PBE) for an optimized crystal structure of VI2N2.

Lattice parameters (Å, degrees): 4.048 4.048 7.364 90.00 90.00 90.00
Fractional coordinates of all 5 atoms:
I1 0.000 0.000 0.000
I2 0.000 0.000 0.500
V1 0.500 0.500 0.500
N1 0.500 0.000 0.000
N2 0.000 0.500 0.000

=====

b) Density functional theory data (GGA-PBE) for an optimized crystal structure of VI2N2.

Lattice parameters (Å, degrees): 3.244 3.244 7.959 78.24 78.24 90.00
Fractional coordinates of all 5 atoms:
N1 0.750 0.250 0.500
N2 0.250 0.750 0.500
I1 0.610 0.610 0.779
I2 0.390 0.390 0.221
V1 0.000 0.000 0.000

=====

Which of them is the most stable, and which is the least stable? b) and a), in that order.

=====

a) Density functional theory data (GGA-PBE) for an optimized crystal structure of VI2N2.

Lattice parameters (Å, degrees): 7.364 7.364 3.865 90.00 90.00 90.00
Each line ends with the local moment (μB).
Fractional coordinates of all 10 atoms:
N1 0.264 0.236 0.500  -0.24
N2 0.764 0.264 0.500  -0.24
N3 0.236 0.736 0.500  -0.24
N4 0.736 0.764 0.500  -0.24
V1 0.000 0.000 0.000  2.56
V2 0.500 0.500 0.000  2.56
I1 0.327 0.827 0.000  -0.09
I2 0.827 0.673 0.000  -0.09
I3 0.173 0.327 0.000  -0.09
I4 0.673 0.173 0.000  -0.09

=====

b) Density functional theory data (GGA-PBE) for an optimized crystal structure of VI2N2.

Lattice parameters (Å, degrees): 5.555 5.555 3.659 90.00 90.00 90.00
Each line ends with the local moment (μB).
Fractional coordinates of all 5 atoms:
V1 0.000 0.000 0.000  0.66
N1 0.500 0.500 0.500  1.78
N2 0.000 0.000 0.500  -0.14
I1 0.500 0.000 0.000  0.00
I2 0.000 0.500 0.000  0.00

=====

Which of them is the most stable, and which is the least stable? b) and a), in that order.

=====

a) Density functional theory data (GGA-PBE) for an optimized crystal structure of VIN2.

Lattice parameters (Å, degrees): 6.734 6.734 6.734 26.87 26.87 26.87
Each line ends with the local moment (μB).
Fractional coordinates of all 4 atoms:
I1 0.000 0.000 0.000  0.03
N1 0.115 0.115 0.115  -0.09
N2 0.885 0.885 0.885  -0.09
V1 0.500 0.500 0.500  0.72

=====

b) Density functional theory data (GGA-PBE) for an optimized crystal structure of VIN2.

Lattice parameters (Å, degrees): 5.880 5.880 5.883 60.02 60.02 90.00
Each line ends with the local moment (μB).
Fractional coordinates of all 8 atoms:
V1 0.500 0.500 0.000  0.02
V2 0.250 0.750 0.500  0.02
N1 0.374 0.125 0.250  -0.01
N2 0.376 0.625 0.250  -0.01
N3 0.375 0.626 0.750  -0.01
N4 0.875 0.624 0.750  -0.01
I1 0.750 0.250 0.500  0.14
I2 0.000 0.000 0.000  0.14

=====

Which of them is the most stable, and which is the least stable? b) and a), in that order.

=====

a) Density functional theory data (GGA-PBE) for an optimized crystal structure of VIN2.

Lattice parameters (Å, degrees): 7.063 7.063 7.063 26.52 26.52 26.52
Each line ends with the local moment (μB).
Fractional coordinates of all 4 atoms:
N1 0.910 0.910 0.910  -0.02
N2 0.090 0.090 0.090  -0.02
I1 0.500 0.500 0.500  0.10
V1 0.000 0.000 0.000  0.93

=====

b) Density functional theory data (GGA-PBE) for an optimized crystal structure of VIN2.

Lattice parameters (Å, degrees): 4.019 4.019 4.019 60.00 60.00 60.00
Fractional coordinates of all 4 atoms:
N1 0.250 0.250 0.250
N2 0.750 0.750 0.750
I1 0.500 0.500 0.500
V1 0.000 0.000 0.000

=====

Which of them is the most stable, and which is the least stable? a) and b), in that order.